1.
Here is TlSnP2S after structural relaxation from the Alexandria database. Energies are from GGA-PBE.

Values from the calculation:
E above lowest polymorph (eV per atom): 0.000
Calculated volume (Å³/cell): 135.5
Crystal system: tetragonal

a b c (Å): 5.1320 5.1320 5.1442
angles (deg): 90.00 90.00 90.00
Last column: nearest neighbours and their distance in Å.
Sites, in units of the cell vectors:
Tl1 0.0000 0.0000 0.0000  4 S 3.63, 8 P 3.63
Sn1 0.5000 0.5000 0.5000  4 P 2.57, 2 S 2.57
P1 0.0000 0.5000 0.5000  2 Sn 2.57
P2 0.5000 0.0000 0.5000  2 Sn 2.57
S1 0.5000 0.5000 0.0000  2 Sn 2.57

2.
Here is SnPWS2 after structural relaxation from the Alexandria database. Energies are from GGA-PBE.

Values from the calculation:
E above lowest polymorph (eV per atom): 0.000
Calculated volume (Å³/cell): 107.2
Crystal system: tetragonal

a b c (Å): 4.6500 4.6500 4.9588
angles (deg): 90.00 90.00 90.00
Last column: nearest neighbours and their distance in Å.
Sites, in units of the cell vectors:
Sn1 0.0000 0.0000 0.0000  4 P 3.29, 8 S 3.40
P1 0.5000 0.5000 0.0000  2 W 2.48
W1 0.5000 0.5000 0.5000  4 S 2.33, 2 P 2.48
S1 0.0000 0.5000 0.5000  2 W 2.33
S2 0.5000 0.0000 0.5000  2 W 2.33

3.
Here is SnPWS2 after structural relaxation from the Alexandria database. Energies are from GGA-PBE.

Values from the calculation:
E above lowest polymorph (eV per atom): 1.376
Calculated volume (Å³/cell): 117.8
Crystal system: tetragonal

a b c (Å): 4.8714 4.8714 4.9626
angles (deg): 90.00 90.00 90.00
Last column: nearest neighbours and their distance in Å.
Sites, in units of the cell vectors:
Sn1 0.0000 0.0000 0.0000  4 S 2.44, 2 P 2.48
P1 0.0000 0.0000 0.5000  2 Sn 2.48
W1 0.5000 0.5000 0.5000  4 P 3.44, 8 S 3.48
S1 0.0000 0.5000 0.0000  2 Sn 2.44
S2 0.5000 0.0000 0.0000  2 Sn 2.44

4.
Here is Y6SnP2S3 after structural relaxation from the Alexandria database. Energies are from GGA-PBE.

Values from the calculation:
E_tot (eV per formula unit): -85.96
Calculated volume (Å³/cell): 280.6
Crystal system: monoclinic

a b c (Å): 9.0389 9.0389 8.1377
angles (deg): 102.66 102.66 25.66
Last column: nearest neighbours and their distance in Å.
Sites, in units of the cell vectors:
Y1 0.0027 0.0027 0.2679  3 S 2.76-2.90, 1 P 2.84, 2 Sn 2.96
Y2 0.3273 0.3273 0.9043  3 S 2.77-2.92, 2 P 2.82, 1 Sn 2.97
Y3 0.3296 0.3296 0.4217  3 P 2.78-2.81, 3 S 2.89-2.93
Y4 0.6704 0.6704 0.5783  3 P 2.78-2.81, 3 S 2.89-2.93
Y5 0.6727 0.6727 0.0957  3 S 2.77-2.92, 2 P 2.82, 1 Sn 2.97
Y6 0.9973 0.9973 0.7321  3 S 2.76-2.90, 1 P 2.84, 2 Sn 2.96
Sn1 0.5000 0.5000 0.0000  6 Y 2.96-2.97
P1 0.1678 0.1678 0.3360  6 Y 2.78-2.84
P2 0.8322 0.8322 0.6640  6 Y 2.78-2.84
S1 0.1661 0.1661 0.8316  6 Y 2.77-2.92
S2 0.5000 0.5000 0.5000  6 Y 2.76-2.93
S3 0.8339 0.8339 0.1684  6 Y 2.77-2.92

5.
Here is ZrSnP2S after structural relaxation from the Alexandria database. Energies are from GGA-PBE.

Values from the calculation:
E above lowest polymorph (eV per atom): 0.681
Calculated volume (Å³/cell): 117.5
Crystal system: tetragonal

a b c (Å): 4.8962 4.8962 4.9010
angles (deg): 90.00 90.00 90.00
Last column: nearest neighbours and their distance in Å.
Sites, in units of the cell vectors:
Zr1 0.0000 0.0000 0.0000  4 S 3.46, 8 P 3.46
Sn1 0.5000 0.5000 0.5000  4 P 2.45, 2 S 2.45
P1 0.0000 0.5000 0.5000  2 Sn 2.45
P2 0.5000 0.0000 0.5000  2 Sn 2.45
S1 0.5000 0.5000 0.0000  2 Sn 2.45

6.
Here is ZrSnP2S after structural relaxation from the Alexandria database. Energies are from GGA-PBE.

Values from the calculation:
E above lowest polymorph (eV per atom): 0.000
Calculated volume (Å³/cell): 126.9
Crystal system: tetragonal

a b c (Å): 5.0744 5.0744 4.9272
angles (deg): 90.00 90.00 90.00
Last column: nearest neighbours and their distance in Å.
Sites, in units of the cell vectors:
Zr1 0.0000 0.0000 0.0000  2 S 2.46, 4 P 2.54
Sn1 0.5000 0.5000 0.5000  8 P 3.54, 4 S 3.59
P1 0.0000 0.5000 0.0000  2 Zr 2.54
P2 0.5000 0.0000 0.0000  2 Zr 2.54
S1 0.0000 0.0000 0.5000  2 Zr 2.46

7.
Here is SrP2S after structural relaxation from the Alexandria database. Energies are from GGA-PBE.

Values from the calculation:
E_tot (eV per formula unit): -16.79
Calculated volume (Å³/cell): 186.6
Crystal system: tetragonal

a b c (Å): 6.2428 6.2428 6.2428
angles (deg): 107.54 107.54 113.41
Last column: nearest neighbours and their distance in Å.
Sites, in units of the cell vectors:
Sr1 0.0000 0.0000 0.0000  8 P 3.27-3.36, 2 S 3.43
Sr2 0.7500 0.2500 0.5000  8 P 3.27-3.36, 2 S 3.43
P1 0.2212 0.6250 0.0962  2 S 2.33
P2 0.3750 0.4712 0.5962  2 S 2.33
P3 0.5288 0.1250 0.9038  2 S 2.33
P4 0.8750 0.7788 0.4038  2 S 2.33
S1 0.2500 0.7500 0.5000  4 P 2.33
S2 0.5000 0.5000 0.0000  4 P 2.33

8.
Here is Sr4P2S after structural relaxation from the Alexandria database. Energies are from GGA-PBE.

Values from the calculation:
E_tot (eV per formula unit): -30.78
Calculated volume (Å³/cell): 504.6
Crystal system: cubic

a b c (Å): 8.9364 8.9364 8.9364
angles (deg): 60.00 60.00 60.00
Last column: nearest neighbours and their distance in Å.
Sites, in units of the cell vectors:
Sr1 0.2156 0.7615 0.7615  1 S 2.99, 3 P 3.02
Sr2 0.2385 0.2385 0.2385  1 S 2.99, 3 P 3.02
Sr3 0.2385 0.2385 0.7844  1 S 2.99, 3 P 3.02
Sr4 0.2385 0.7844 0.2385  1 S 2.99, 3 P 3.02
Sr5 0.7615 0.2156 0.7615  1 S 2.99, 3 P 3.02
Sr6 0.7615 0.7615 0.2156  1 S 2.99, 3 P 3.02
Sr7 0.7615 0.7615 0.7615  1 S 2.99, 3 P 3.02
Sr8 0.7844 0.2385 0.2385  1 S 2.99, 3 P 3.02
P1 0.0000 0.0000 0.0000  6 Sr 3.02
P2 0.0000 0.0000 0.5000  6 Sr 3.02
P3 0.0000 0.5000 0.0000  6 Sr 3.02
P4 0.5000 0.0000 0.0000  6 Sr 3.02
S1 0.3750 0.3750 0.3750  4 Sr 2.99
S2 0.6250 0.6250 0.6250  4 Sr 2.99

9.
Here is Sr4PS2 after structural relaxation from the Alexandria database. Energies are from GGA-PBE.

Values from the calculation:
E_tot (eV per formula unit): -31.12
Calculated volume (Å³/cell): 430.4
Crystal system: orthorhombic

a b c (Å): 7.3112 7.3112 14.3680
angles (deg): 90.00 90.00 145.92
Last column: nearest neighbours and their distance in Å.
Sites, in units of the cell vectors:
Sr1 0.0000 0.0000 0.0000  4 S 2.96
Sr2 0.0000 0.0000 0.5000  4 S 2.96
Sr3 0.2739 0.7261 0.6264  3 S 2.95-3.07, 2 P 3.18
Sr4 0.2739 0.7261 0.8736  3 S 2.95-3.07, 2 P 3.18
Sr5 0.4576 0.5424 0.2500  2 S 3.04, 2 P 3.08
Sr6 0.5424 0.4576 0.7500  2 S 3.04, 2 P 3.08
Sr7 0.7261 0.2739 0.1264  3 S 2.95-3.07, 2 P 3.18
Sr8 0.7261 0.2739 0.3736  3 S 2.95-3.07, 2 P 3.18
P1 0.1159 0.8841 0.2500  6 Sr 3.08-3.18
P2 0.8841 0.1159 0.7500  6 Sr 3.08-3.18
S1 0.3666 0.6334 0.0581  6 Sr 2.95-3.07
S2 0.3666 0.6334 0.4419  6 Sr 2.95-3.07
S3 0.6334 0.3666 0.5581  6 Sr 2.95-3.07
S4 0.6334 0.3666 0.9419  6 Sr 2.95-3.07

10.
Here is SrPS2 after structural relaxation from the Alexandria database. Energies are from GGA-PBE.

Values from the calculation:
E_tot (eV per formula unit): -17.70
Calculated volume (Å³/cell): 222.3
Crystal system: tetragonal

a b c (Å): 8.0482 8.0482 8.0482
angles (deg): 138.98 138.98 59.40
Last column: nearest neighbours and their distance in Å.
Sites, in units of the cell vectors:
Sr1 0.0000 0.0000 0.0000  4 S 2.92
Sr2 0.7500 0.2500 0.5000  4 S 2.92
P1 0.2500 0.7500 0.5000  4 S 2.44
P2 0.5000 0.5000 0.0000  4 S 2.44
S1 0.2070 0.6250 0.0820  2 P 2.44
S2 0.3750 0.4570 0.5820  2 P 2.44
S3 0.5430 0.1250 0.9180  2 P 2.44
S4 0.8750 0.7930 0.4180  2 P 2.44

11.
Here is SrP3S after structural relaxation from the Alexandria database. Energies are from GGA-PBE.

Values from the calculation:
E above lowest polymorph (eV per atom): 0.000
Calculated volume (Å³/cell): 105.0
Crystal system: cubic

a b c (Å): 4.7171 4.7171 4.7171
angles (deg): 90.00 90.00 90.00
Last column: nearest neighbours and their distance in Å.
Sites, in units of the cell vectors:
Sr1 0.0000 0.0000 0.0000  12 P 3.34
P1 0.0000 0.5000 0.5000  2 S 2.36
P2 0.5000 0.0000 0.5000  2 S 2.36
P3 0.5000 0.5000 0.0000  2 S 2.36
S1 0.5000 0.5000 0.5000  6 P 2.36

12.
Here is Sr2P2S after structural relaxation from the Alexandria database. Energies are from GGA-PBE.

Values from the calculation:
E above lowest polymorph (eV per atom): 0.205
Calculated volume (Å³/cell): 139.6
Crystal system: tetragonal

a b c (Å): 5.9140 5.9140 5.9140
angles (deg): 122.77 122.77 85.27
Last column: nearest neighbours and their distance in Å.
Sites, in units of the cell vectors:
Sr1 0.2500 0.7500 0.5000  4 P 3.06
Sr2 0.7500 0.2500 0.5000  4 P 3.06
P1 0.1180 0.1180 0.0000  1 P 2.05
P2 0.8820 0.8820 0.0000  1 P 2.05
S1 0.5000 0.5000 0.0000  2 P 3.32, 8 Sr 3.57

Please write out number 4 again, unchanged.
Here is Y6SnP2S3 after structural relaxation from the Alexandria database. Energies are from GGA-PBE.

Values from the calculation:
E_tot (eV per formula unit): -85.96
Calculated volume (Å³/cell): 280.6
Crystal system: monoclinic

a b c (Å): 9.0389 9.0389 8.1377
angles (deg): 102.66 102.66 25.66
Last column: nearest neighbours and their distance in Å.
Sites, in units of the cell vectors:
Y1 0.0027 0.0027 0.2679  3 S 2.76-2.90, 1 P 2.84, 2 Sn 2.96
Y2 0.3273 0.3273 0.9043  3 S 2.77-2.92, 2 P 2.82, 1 Sn 2.97
Y3 0.3296 0.3296 0.4217  3 P 2.78-2.81, 3 S 2.89-2.93
Y4 0.6704 0.6704 0.5783  3 P 2.78-2.81, 3 S 2.89-2.93
Y5 0.6727 0.6727 0.0957  3 S 2.77-2.92, 2 P 2.82, 1 Sn 2.97
Y6 0.9973 0.9973 0.7321  3 S 2.76-2.90, 1 P 2.84, 2 Sn 2.96
Sn1 0.5000 0.5000 0.0000  6 Y 2.96-2.97
P1 0.1678 0.1678 0.3360  6 Y 2.78-2.84
P2 0.8322 0.8322 0.6640  6 Y 2.78-2.84
S1 0.1661 0.1661 0.8316  6 Y 2.77-2.92
S2 0.5000 0.5000 0.5000  6 Y 2.76-2.93
S3 0.8339 0.8339 0.1684  6 Y 2.77-2.92